[1]
Here is a relaxed ScTlCoRe crystal from OQMD. Energies are from PBE.

```
data_ScTlCoRe
_chemical_formula_sum 'Sc4 Tl4 Co4 Re4'
_cell_length_a 6.517
_cell_length_b 6.517
_cell_length_c 6.517
_cell_angle_alpha 90.00
_cell_angle_beta 90.00
_cell_angle_gamma 90.00
_symmetry_space_group_name_H-M 'F -4 3 m'
_symmetry_Int_Tables_number 216
_symmetry_space_group_name_Hall 'F -4 2 3'
loop_
_atom_site_label
_atom_site_fract_x
_atom_site_fract_y
_atom_site_fract_z
Sc1 0.000 0.000 0.000
Tl1 0.250 0.250 0.250
Co1 0.000 0.000 0.500
Re1 0.250 0.250 0.750
```

[2]
Here is a relaxed ScZnCoRe crystal from OQMD. Energies are from PBE.

```
data_ScZnCoRe
_chemical_formula_sum 'Sc4 Zn4 Co4 Re4'
_cell_length_a 6.219
_cell_length_b 6.219
_cell_length_c 6.219
_cell_angle_alpha 90.00
_cell_angle_beta 90.00
_cell_angle_gamma 90.00
_symmetry_space_group_name_H-M 'F -4 3 m'
_symmetry_Int_Tables_number 216
_symmetry_space_group_name_Hall 'F -4 2 3'
loop_
_atom_site_label
_atom_site_fract_x
_atom_site_fract_y
_atom_site_fract_z
Sc1 0.000 0.000 0.000
Zn1 0.250 0.250 0.250
Co1 0.000 0.000 0.500
Re1 0.250 0.250 0.750
```

[3]
Here is a relaxed TaCoReSi crystal from OQMD. Energies are from PBE.

```
data_TaCoReSi
_chemical_formula_sum 'Ta4 Co4 Re4 Si4'
_cell_length_a 6.075
_cell_length_b 6.075
_cell_length_c 6.075
_cell_angle_alpha 90.00
_cell_angle_beta 90.00
_cell_angle_gamma 90.00
_symmetry_space_group_name_H-M 'F -4 3 m'
_symmetry_Int_Tables_number 216
_symmetry_space_group_name_Hall 'F -4 2 3'
loop_
_atom_site_label
_atom_site_fract_x
_atom_site_fract_y
_atom_site_fract_z
Ta1 0.000 0.000 0.000
Co1 0.250 0.250 0.750
Re1 0.250 0.250 0.250
Si1 0.000 0.000 0.500
```

[4]
Here is a relaxed CoReSiTc crystal from OQMD. Energies are from PBE.

```
data_CoReSiTc
_chemical_formula_sum 'Co4 Re4 Si4 Tc4'
_cell_length_a 5.957
_cell_length_b 5.957
_cell_length_c 5.957
_cell_angle_alpha 90.00
_cell_angle_beta 90.00
_cell_angle_gamma 90.00
_symmetry_space_group_name_H-M 'F -4 3 m'
_symmetry_Int_Tables_number 216
_symmetry_space_group_name_Hall 'F -4 2 3'
loop_
_atom_site_label
_atom_site_fract_x
_atom_site_fract_y
_atom_site_fract_z
Co1 0.000 0.000 0.000
Re1 0.250 0.250 0.250
Si1 0.250 0.250 0.750
Tc1 0.000 0.000 0.500
```

[5]
Here is a relaxed YCoReSi crystal from OQMD. Energies are from PBE.

```
data_YCoReSi
_chemical_formula_sum 'Y4 Co4 Re4 Si4'
_cell_length_a 6.425
_cell_length_b 6.425
_cell_length_c 6.425
_cell_angle_alpha 90.00
_cell_angle_beta 90.00
_cell_angle_gamma 90.00
_symmetry_space_group_name_H-M 'F -4 3 m'
_symmetry_Int_Tables_number 216
_symmetry_space_group_name_Hall 'F -4 2 3'
loop_
_atom_site_label
_atom_site_fract_x
_atom_site_fract_y
_atom_site_fract_z
Y1 0.000 0.000 0.000
Co1 0.000 0.000 0.500
Re1 0.250 0.250 0.750
Si1 0.250 0.250 0.250
```

[6]
Here is a relaxed YCoReSi crystal from OQMD. Energies are from PBE.

```
data_YCoReSi
_chemical_formula_sum 'Y4 Co4 Re4 Si4'
_cell_length_a 6.259
_cell_length_b 6.259
_cell_length_c 6.259
_cell_angle_alpha 90.00
_cell_angle_beta 90.00
_cell_angle_gamma 90.00
_symmetry_space_group_name_H-M 'F -4 3 m'
_symmetry_Int_Tables_number 216
_symmetry_space_group_name_Hall 'F -4 2 3'
loop_
_atom_site_label
_atom_site_fract_x
_atom_site_fract_y
_atom_site_fract_z
Y1 0.000 0.000 0.000
Co1 0.250 0.250 0.750
Re1 0.250 0.250 0.250
Si1 0.000 0.000 0.500
```

[7]
Here is a relaxed ZrCoReSi crystal from OQMD. Energies are from PBE.

```
data_ZrCoReSi
_chemical_formula_sum 'Zr4 Co4 Re4 Si4'
_cell_length_a 6.258
_cell_length_b 6.258
_cell_length_c 6.258
_cell_angle_alpha 90.00
_cell_angle_beta 90.00
_cell_angle_gamma 90.00
_symmetry_space_group_name_H-M 'F -4 3 m'
_symmetry_Int_Tables_number 216
_symmetry_space_group_name_Hall 'F -4 2 3'
loop_
_atom_site_label
_atom_site_fract_x
_atom_site_fract_y
_atom_site_fract_z
Zr1 0.000 0.000 0.000
Co1 0.000 0.000 0.500
Re1 0.250 0.250 0.750
Si1 0.250 0.250 0.250
```

[8]
Here is a relaxed ZrCoReSi crystal from OQMD. Energies are from PBE.

```
data_ZrCoReSi
_chemical_formula_sum 'Zr4 Co4 Re4 Si4'
_cell_length_a 6.157
_cell_length_b 6.157
_cell_length_c 6.157
_cell_angle_alpha 90.00
_cell_angle_beta 90.00
_cell_angle_gamma 90.00
_symmetry_space_group_name_H-M 'F -4 3 m'
_symmetry_Int_Tables_number 216
_symmetry_space_group_name_Hall 'F -4 2 3'
loop_
_atom_site_label
_atom_site_fract_x
_atom_site_fract_y
_atom_site_fract_z
Zr1 0.000 0.000 0.000
Co1 0.250 0.250 0.750
Re1 0.250 0.250 0.250
Si1 0.000 0.000 0.500
```

| no. | density (g/cm3) | total DFT energy (no corrections) (eV per atom) |
| --- | --- | --- |
| 1 | 11.9 | -6.582 |
| 2 | 9.8 | -6.608 |
| 3 | 13.5 | -9.436 |
| 4 | 11.7 | -8.843 |
| 5 | 9.1 | -7.355 |
| 6 | 9.8 | -7.703 |
| 7 | 9.9 | -8.173 |
| 8 | 10.4 | -8.606 |